This record from Alexandria describes a geometry-optimized LaTb6Tm2Sc3 structure. The functional is PBE.

CIF file:
```
data_LaTb6Tm2Sc3
_cell_length_a 6.0641
_cell_length_b 10.5032
_cell_length_c 11.5023
_cell_angle_alpha 90.00
_cell_angle_beta 100.12
_cell_angle_gamma 90.00
_space_group_name_H-M_alt 'C 1 2/m 1'
_space_group_IT_number 12
loop_
_space_group_symop_operation_xyz
'x,y,z'
'-x,-y,-z'
'-x,y,-z'
'x,-y,z'
'x+1/2,y+1/2,z'
'-x+1/2,-y+1/2,-z'
'-x+1/2,y+1/2,-z'
'x+1/2,-y+1/2,z'
loop_
_atom_site_label
_atom_site_type_symbol
_atom_site_fract_x
_atom_site_fract_y
_atom_site_fract_z
La1 La 0.0000 0.0000 0.0000
Tb1 Tb 0.2459 0.3327 0.7396
Tb2 Tb 0.2478 0.0000 0.7392
Tm1 Tm 0.0000 0.3334 0.0000
Sc1 Sc 0.0000 0.1671 0.5000
Sc2 Sc 0.0000 0.5000 0.5000
```

=====

This record from Alexandria describes a geometry-optimized La2TbTmSc structure. The functional is PBE.

CIF file:
```
data_La2TbTmSc
_cell_length_a 8.1997
_cell_length_b 11.4402
_cell_length_c 7.2905
_cell_angle_alpha 90.00
_cell_angle_beta 90.00
_cell_angle_gamma 90.00
_space_group_name_H-M_alt 'C m c m'
_space_group_IT_number 63
_space_group_name_Hall '-C 2c 2'
loop_
_atom_site_label
_atom_site_type_symbol
_atom_site_fract_x
_atom_site_fract_y
_atom_site_fract_z
La1 La 0.1988 0.0000 0.0000
Tb1 Tb 0.0000 0.2314 0.2500
Tm1 Tm 0.0000 0.2434 0.7500
Sc1 Sc 0.0000 0.4909 0.2500
```

=====

This record from Alexandria describes a geometry-optimized LaTbTmSc structure. The functional is PBE.

CIF file:
```
data_LaTbTmSc
_cell_length_a 7.9175
_cell_length_b 7.9175
_cell_length_c 7.9175
_cell_angle_alpha 90.00
_cell_angle_beta 90.00
_cell_angle_gamma 90.00
_space_group_name_H-M_alt 'F -4 3 m'
_space_group_IT_number 216
_space_group_name_Hall 'F -4 2 3'
loop_
_atom_site_label
_atom_site_type_symbol
_atom_site_fract_x
_atom_site_fract_y
_atom_site_fract_z
La1 La 0.0000 0.0000 0.0000
Tb1 Tb 0.0000 0.0000 0.5000
Tm1 Tm 0.2500 0.2500 0.7500
Sc1 Sc 0.2500 0.2500 0.2500
```

=====

This record from Alexandria describes a geometry-optimized LaTb2Tm4Sc structure. The functional is PBE.

CIF file:
```
data_LaTb2Tm4Sc
_cell_length_a 5.7445
_cell_length_b 5.7445
_cell_length_c 7.4896
_cell_angle_alpha 90.00
_cell_angle_beta 90.00
_cell_angle_gamma 90.00
_space_group_name_H-M_alt 'P 4/m m m'
_space_group_IT_number 123
_space_group_name_Hall '-P 4 2'
loop_
_atom_site_label
_atom_site_type_symbol
_atom_site_fract_x
_atom_site_fract_y
_atom_site_fract_z
La1 La 0.0000 0.0000 0.0000
Tb1 Tb 0.0000 0.0000 0.5000
Tb2 Tb 0.5000 0.5000 0.5000
Tm1 Tm 0.0000 0.5000 0.2504
Sc1 Sc 0.5000 0.5000 0.0000
```

=====

Which DFT formation energy belongs to each record? In order, 0.599; 1.901; 0.357; 1.068 eV/f.u..